Entry 1:
{"formula": "Li4MgZnSn2", "functional": "PBE", "state": "relaxed", "cell": [[4.637, 0.000, 0.000], [0.000, 4.637, 0.000], [0.000, 0.000, 6.653]], "species": ["Li", "Li", "Li", "Li", "Mg", "Zn", "Sn", "Sn"], "frac_coords": [[0.000, 0.000, 0.000], [0.000, 0.500, 0.227], [0.500, 0.000, 0.773], [0.500, 0.500, 0.500], [0.000, 0.000, 0.500], [0.500, 0.500, 0.000], [0.000, 0.500, 0.756], [0.500, 0.000, 0.244]], "e_tot_ev_per_cell": -21.08, "crystal_system": "tetragonal"}

Entry 2:
{"formula": "RbTb2O4", "functional": "PBE", "state": "relaxed", "cell": [[0.000, 5.052, 5.052], [5.052, 0.000, 5.052], [5.052, 5.052, 0.000]], "species": ["Rb", "Rb", "Tb", "Tb", "Tb", "Tb", "O", "O", "O", "O", "O", "O", "O", "O"], "frac_coords": [[0.125, 0.125, 0.125], [0.875, 0.875, 0.875], [0.000, 0.500, 0.500], [0.500, 0.000, 0.500], [0.500, 0.500, 0.000], [0.500, 0.500, 0.500], [0.275, 0.275, 0.275], [0.275, 0.275, 0.676], [0.275, 0.676, 0.275], [0.324, 0.725, 0.725], [0.676, 0.275, 0.275], [0.725, 0.324, 0.725], [0.725, 0.725, 0.324], [0.725, 0.725, 0.725]], "e_tot_ev_per_cell": -97.08, "crystal_system": "cubic"}

- What is the formula in the second record?
  RbTb2O4

Please write out number 1 again, unchanged.
{"formula": "Li4MgZnSn2", "functional": "PBE", "state": "relaxed", "cell": [[4.637, 0.000, 0.000], [0.000, 4.637, 0.000], [0.000, 0.000, 6.653]], "species": ["Li", "Li", "Li", "Li", "Mg", "Zn", "Sn", "Sn"], "frac_coords": [[0.000, 0.000, 0.000], [0.000, 0.500, 0.227], [0.500, 0.000, 0.773], [0.500, 0.500, 0.500], [0.000, 0.000, 0.500], [0.500, 0.500, 0.000], [0.000, 0.500, 0.756], [0.500, 0.000, 0.244]], "e_tot_ev_per_cell": -21.08, "crystal_system": "tetragonal"}